# Ac12La5Pr GGA-PBE relaxed
data_Ac12La5Pr
_cell_length_a 6.327
_cell_length_b 11.918
_cell_length_c 20.449
_cell_angle_alpha 90.00
_cell_angle_beta 90.00
_cell_angle_gamma 90.00
_symmetry_space_group_name_H-M 'A m m 2'
_symmetry_Int_Tables_number 38
loop_
_symmetry_equiv_pos_as_xyz
'x,y,z'
'-x,-y,z'
'-x,y,z'
'x,-y,z'
'x,y+1/2,z+1/2'
'-x,-y+1/2,z+1/2'
'-x,y+1/2,z+1/2'
'x,-y+1/2,z+1/2'
loop_
_atom_site_label
_atom_site_type_symbol
_atom_site_fract_x
_atom_site_fract_y
_atom_site_fract_z
Ac1 Ac 0.000 0.162 0.000
Ac2 Ac 0.000 0.163 0.333
Ac3 Ac 0.000 0.163 0.667
Ac4 Ac 0.500 0.162 0.782
Ac5 Ac 0.500 0.163 0.116
Ac6 Ac 0.500 0.163 0.449
La1 La 0.000 0.000 0.505
La2 La 0.000 0.000 0.838
La3 La 0.500 0.000 0.277
La4 La 0.500 0.000 0.610
La5 La 0.500 0.000 0.944
Pr1 Pr 0.000 0.000 0.170
# Crystal system: orthorhombic
# Calculated formation energy: 36 meV/atom


# Ac3La6Pr GGA-PBE relaxed
data_Ac3La6Pr
_cell_length_a 10.446
_cell_length_b 15.643
_cell_length_c 9.628
_cell_angle_alpha 90.00
_cell_angle_beta 90.00
_cell_angle_gamma 90.00
_symmetry_space_group_name_H-M 'C m c 21'
_symmetry_Int_Tables_number 36
loop_
_symmetry_equiv_pos_as_xyz
'x,y,z'
'-x,-y,z+1/2'
'-x,y,z'
'x,-y,z+1/2'
'x+1/2,y+1/2,z'
'-x+1/2,-y+1/2,z+1/2'
'-x+1/2,y+1/2,z'
'x+1/2,-y+1/2,z+1/2'
loop_
_atom_site_label
_atom_site_type_symbol
_atom_site_fract_x
_atom_site_fract_y
_atom_site_fract_z
Ac1 Ac 0.000 0.035 0.000
Ac2 Ac 0.177 0.345 0.510
La1 La 0.000 0.196 0.280
La2 La 0.000 0.437 0.167
La3 La 0.183 0.140 0.681
La4 La 0.210 0.427 0.853
Pr1 Pr 0.000 0.264 0.909
# Crystal system: orthorhombic
# Calculated formation energy: 114 meV/atom


# Ac3La3Pr GGA-PBE relaxed
data_Ac3La3Pr
_cell_length_a 10.2980
_cell_length_b 10.2980
_cell_length_c 6.2164
_cell_angle_alpha 90.00
_cell_angle_beta 90.00
_cell_angle_gamma 120.00
_symmetry_space_group_name_H-M 'P 63/m'
_symmetry_Int_Tables_number 176
_symmetry_space_group_name_Hall '-P 6c'
loop_
_atom_site_label
_atom_site_type_symbol
_atom_site_fract_x
_atom_site_fract_y
_atom_site_fract_z
Ac1 Ac 0.0939 0.6259 0.2500
La1 La 0.0451 0.8130 0.7500
Pr1 Pr 0.3333 0.6667 0.7500
# Crystal system: hexagonal
# Calculated formation energy: 39 meV/atom


# Ac3LaPr8 GGA-PBE relaxed
data_Ac3LaPr8
_cell_length_a 6.764
_cell_length_b 9.492
_cell_length_c 14.744
_cell_angle_alpha 90.00
_cell_angle_beta 90.00
_cell_angle_gamma 90.00
_symmetry_space_group_name_H-M 'I 2 2 2'
_symmetry_Int_Tables_number 23
loop_
_symmetry_equiv_pos_as_xyz
'x,y,z'
'-x,-y,z'
'x,-y,-z'
'-x,y,-z'
'x+1/2,y+1/2,z+1/2'
'-x+1/2,-y+1/2,z+1/2'
'x+1/2,-y+1/2,-z+1/2'
'-x+1/2,y+1/2,-z+1/2'
loop_
_atom_site_label
_atom_site_type_symbol
_atom_site_fract_x
_atom_site_fract_y
_atom_site_fract_z
Ac1 Ac 0.000 0.000 0.000
Ac2 Ac 0.000 0.500 0.372
La1 La 0.000 0.000 0.500
Pr1 Pr 0.129 0.342 0.102
Pr2 Pr 0.141 0.148 0.289
# Crystal system: orthorhombic
# Calculated formation energy: 231 meV/atom


# AcLa2Pr GGA-PBE relaxed
data_AcLa2Pr
_cell_length_a 5.342
_cell_length_b 5.342
_cell_length_c 5.361
_cell_angle_alpha 90.00
_cell_angle_beta 90.00
_cell_angle_gamma 90.00
_symmetry_space_group_name_H-M 'P 4/m m m'
_symmetry_Int_Tables_number 123
_symmetry_space_group_name_Hall '-P 4 2'
loop_
_atom_site_label
_atom_site_type_symbol
_atom_site_fract_x
_atom_site_fract_y
_atom_site_fract_z
Ac1 Ac 0.000 0.000 0.000
La1 La 0.000 0.500 0.500
Pr1 Pr 0.500 0.500 0.000
# Crystal system: tetragonal
# Calculated formation energy: 8 meV/atom


# AcLa9Pr2 GGA-PBE relaxed
data_AcLa9Pr2
_cell_length_a 5.291
_cell_length_b 5.291
_cell_length_c 15.869
_cell_angle_alpha 90.00
_cell_angle_beta 90.00
_cell_angle_gamma 90.00
_symmetry_space_group_name_H-M 'P 4/m m m'
_symmetry_Int_Tables_number 123
_symmetry_space_group_name_Hall '-P 4 2'
loop_
_atom_site_label
_atom_site_type_symbol
_atom_site_fract_x
_atom_site_fract_y
_atom_site_fract_z
Ac1 Ac 0.000 0.000 0.000
La1 La 0.000 0.500 0.171
La2 La 0.000 0.500 0.500
La3 La 0.500 0.500 0.000
La4 La 0.500 0.500 0.336
Pr1 Pr 0.000 0.000 0.335
# Crystal system: tetragonal
# Calculated formation energy: 4 meV/atom


# Ac3La7Pr2 GGA-PBE relaxed
data_Ac3La7Pr2
_cell_length_a 6.216
_cell_length_b 3.795
_cell_length_c 19.884
_cell_angle_alpha 90.00
_cell_angle_beta 92.88
_cell_angle_gamma 90.00
_symmetry_space_group_name_H-M 'P 1 2/m 1'
_symmetry_Int_Tables_number 10
loop_
_symmetry_equiv_pos_as_xyz
'x,y,z'
'-x,-y,-z'
'-x,y,-z'
'x,-y,z'
loop_
_atom_site_label
_atom_site_type_symbol
_atom_site_fract_x
_atom_site_fract_y
_atom_site_fract_z
Ac1 Ac 0.000 0.000 0.000
Ac2 Ac 0.274 0.500 0.636
La1 La 0.201 0.500 0.147
La2 La 0.247 0.000 0.463
La3 La 0.301 0.000 0.826
La4 La 0.500 0.500 0.000
Pr1 Pr 0.216 0.000 0.294
# Crystal system: monoclinic
# Calculated formation energy: 65 meV/atom


# AcLa4Pr2 GGA-PBE relaxed
data_AcLa4Pr2
_cell_length_a 3.713
_cell_length_b 6.060
_cell_length_c 24.034
_cell_angle_alpha 90.00
_cell_angle_beta 90.00
_cell_angle_gamma 90.00
_symmetry_space_group_name_H-M 'I m m m'
_symmetry_Int_Tables_number 71
_symmetry_space_group_name_Hall '-I 2 2'
loop_
_atom_site_label
_atom_site_type_symbol
_atom_site_fract_x
_atom_site_fract_y
_atom_site_fract_z
Ac1 Ac 0.000 0.000 0.000
La1 La 0.000 0.500 0.089
La2 La 0.000 0.500 0.362
Pr1 Pr 0.000 0.000 0.274
# Crystal system: orthorhombic
# Calculated formation energy: 91 meV/atom


# AcLa12Pr6 GGA-PBE relaxed
data_AcLa12Pr6
_cell_length_a 14.0403
_cell_length_b 14.0403
_cell_length_c 12.5722
_cell_angle_alpha 90.00
_cell_angle_beta 90.00
_cell_angle_gamma 120.00
_symmetry_space_group_name_H-M 'R -3 m'
_symmetry_Int_Tables_number 166
_symmetry_space_group_name_Hall '-R 3 2"'
loop_
_atom_site_label
_atom_site_type_symbol
_atom_site_fract_x
_atom_site_fract_y
_atom_site_fract_z
Ac1 Ac 0.0000 0.0000 0.0000
La1 La 0.0000 0.2553 0.5000
La2 La 0.0906 0.1813 0.2635
Pr1 Pr 0.0414 0.5207 0.6186
# Crystal system: trigonal
# Calculated formation energy: 152 meV/atom


# Ac5La3Pr2 GGA-PBE relaxed
data_Ac5La3Pr2
_cell_length_a 11.879
_cell_length_b 18.404
_cell_length_c 9.564
_cell_angle_alpha 90.00
_cell_angle_beta 128.32
_cell_angle_gamma 90.00
_symmetry_space_group_name_H-M 'C 1 2/c 1'
_symmetry_Int_Tables_number 15
loop_
_symmetry_equiv_pos_as_xyz
'x,y,z'
'-x,-y,-z'
'-x,y,-z+1/2'
'x,-y,z+1/2'
'x+1/2,y+1/2,z'
'-x+1/2,-y+1/2,-z'
'-x+1/2,y+1/2,-z+1/2'
'x+1/2,-y+1/2,z+1/2'
loop_
_atom_site_label
_atom_site_type_symbol
_atom_site_fract_x
_atom_site_fract_y
_atom_site_fract_z
Ac1 Ac 0.000 0.027 0.250
Ac2 Ac 0.000 0.225 0.250
Ac3 Ac 0.000 0.276 0.750
Ac4 Ac 0.250 0.118 0.753
La1 La 0.000 0.468 0.750
La2 La 0.154 0.123 0.057
Pr1 Pr 0.139 0.383 0.530
# Crystal system: monoclinic
# Calculated formation energy: 140 meV/atom


# Ac2LaPr2 GGA-PBE relaxed
data_Ac2LaPr2
_cell_length_a 11.069
_cell_length_b 11.069
_cell_length_c 3.508
_cell_angle_alpha 90.00
_cell_angle_beta 90.00
_cell_angle_gamma 90.00
_symmetry_space_group_name_H-M 'P 4/m b m'
_symmetry_Int_Tables_number 127
_symmetry_space_group_name_Hall '-P 4 2ab'
loop_
_atom_site_label
_atom_site_type_symbol
_atom_site_fract_x
_atom_site_fract_y
_atom_site_fract_z
Ac1 Ac 0.117 0.383 0.000
La1 La 0.000 0.000 0.500
Pr1 Pr 0.179 0.679 0.000
# Crystal system: tetragonal
# Calculated formation energy: 572 meV/atom


# Ac15LaPr4 GGA-PBE relaxed
data_Ac15LaPr4
_cell_length_a 5.561
_cell_length_b 5.561
_cell_length_c 27.722
_cell_angle_alpha 90.00
_cell_angle_beta 90.00
_cell_angle_gamma 90.00
_symmetry_space_group_name_H-M 'P 4/m m m'
_symmetry_Int_Tables_number 123
_symmetry_space_group_name_Hall '-P 4 2'
loop_
_atom_site_label
_atom_site_type_symbol
_atom_site_fract_x
_atom_site_fract_y
_atom_site_fract_z
Ac1 Ac 0.000 0.000 0.000
Ac2 Ac 0.000 0.000 0.200
Ac3 Ac 0.000 0.000 0.400
Ac4 Ac 0.000 0.500 0.100
Ac5 Ac 0.000 0.500 0.300
Ac6 Ac 0.000 0.500 0.500
La1 La 0.500 0.500 0.000
Pr1 Pr 0.500 0.500 0.200
Pr2 Pr 0.500 0.500 0.400
# Crystal system: tetragonal
# Calculated formation energy: 22 meV/atom


# Ac2La2Pr5 GGA-PBE relaxed
data_Ac2La2Pr5
_cell_length_a 15.609
_cell_length_b 12.597
_cell_length_c 7.063
_cell_angle_alpha 90.00
_cell_angle_beta 90.00
_cell_angle_gamma 90.00
_symmetry_space_group_name_H-M 'I m a 2'
_symmetry_Int_Tables_number 46
loop_
_symmetry_equiv_pos_as_xyz
'x,y,z'
'-x,-y,z'
'-x+1/2,y,z'
'x+1/2,-y,z'
'x+1/2,y+1/2,z+1/2'
'-x+1/2,-y+1/2,z+1/2'
'-x,y+1/2,z+1/2'
'x,-y+1/2,z+1/2'
loop_
_atom_site_label
_atom_site_type_symbol
_atom_site_fract_x
_atom_site_fract_y
_atom_site_fract_z
Ac1 Ac 0.000 0.000 0.000
Ac2 Ac 0.250 0.003 0.056
La1 La 0.125 0.006 0.530
Pr1 Pr 0.056 0.749 0.177
Pr2 Pr 0.142 0.235 0.853
Pr3 Pr 0.250 0.730 0.888
# Crystal system: orthorhombic
# Calculated formation energy: 148 meV/atom


# AcLa12Pr6 GGA-PBE relaxed
data_AcLa12Pr6
_cell_length_a 14.3235
_cell_length_b 14.3235
_cell_length_c 12.3108
_cell_angle_alpha 90.00
_cell_angle_beta 90.00
_cell_angle_gamma 120.00
_symmetry_space_group_name_H-M 'R -3 m'
_symmetry_Int_Tables_number 166
_symmetry_space_group_name_Hall '-R 3 2"'
loop_
_atom_site_label
_atom_site_type_symbol
_atom_site_fract_x
_atom_site_fract_y
_atom_site_fract_z
Ac1 Ac 0.0000 0.0000 0.0000
La1 La 0.0000 0.3897 0.5000
La2 La 0.0898 0.1795 0.3462
Pr1 Pr 0.0023 0.5012 0.2639
# Crystal system: trigonal
# Calculated formation energy: 297 meV/atom


# Ac2LaPr2 GGA-PBE relaxed
data_Ac2LaPr2
_cell_length_a 9.008
_cell_length_b 9.008
_cell_length_c 4.994
_cell_angle_alpha 90.00
_cell_angle_beta 90.00
_cell_angle_gamma 90.00
_symmetry_space_group_name_H-M 'P 4/m b m'
_symmetry_Int_Tables_number 127
_symmetry_space_group_name_Hall '-P 4 2ab'
loop_
_atom_site_label
_atom_site_type_symbol
_atom_site_fract_x
_atom_site_fract_y
_atom_site_fract_z
Ac1 Ac 0.164 0.336 0.000
La1 La 0.000 0.000 0.500
Pr1 Pr 0.137 0.637 0.500
# Crystal system: tetragonal
# Calculated formation energy: 157 meV/atom


# Ac8La3Pr2 GGA-PBE relaxed
data_Ac8La3Pr2
_cell_length_a 21.659
_cell_length_b 8.364
_cell_length_c 6.220
_cell_angle_alpha 90.00
_cell_angle_beta 90.02
_cell_angle_gamma 90.00
_symmetry_space_group_name_H-M 'C 1 2/m 1'
_symmetry_Int_Tables_number 12
loop_
_symmetry_equiv_pos_as_xyz
'x,y,z'
'-x,-y,-z'
'-x,y,-z'
'x,-y,z'
'x+1/2,y+1/2,z'
'-x+1/2,-y+1/2,-z'
'-x+1/2,y+1/2,-z'
'x+1/2,-y+1/2,z'
loop_
_atom_site_label
_atom_site_type_symbol
_atom_site_fract_x
_atom_site_fract_y
_atom_site_fract_z
Ac1 Ac 0.106 0.212 0.001
Ac2 Ac 0.134 0.500 0.500
Ac3 Ac 0.175 0.000 0.501
La1 La 0.000 0.204 0.500
La2 La 0.000 0.500 0.000
Pr1 Pr 0.242 0.500 0.999
# Crystal system: monoclinic
# Calculated formation energy: 196 meV/atom


# AcLa12Pr3 GGA-PBE relaxed
data_AcLa12Pr3
_cell_length_a 5.284
_cell_length_b 5.284
_cell_length_c 21.146
_cell_angle_alpha 90.00
_cell_angle_beta 90.00
_cell_angle_gamma 90.00
_symmetry_space_group_name_H-M 'P 4/m m m'
_symmetry_Int_Tables_number 123
_symmetry_space_group_name_Hall '-P 4 2'
loop_
_atom_site_label
_atom_site_type_symbol
_atom_site_fract_x
_atom_site_fract_y
_atom_site_fract_z
Ac1 Ac 0.000 0.000 0.000
La1 La 0.000 0.500 0.128
La2 La 0.000 0.500 0.376
La3 La 0.500 0.500 0.000
La4 La 0.500 0.500 0.253
La5 La 0.500 0.500 0.500
Pr1 Pr 0.000 0.000 0.252
Pr2 Pr 0.000 0.000 0.500
# Crystal system: tetragonal
# Calculated formation energy: 6 meV/atom


# AcLaPrPt2 GGA-PBE relaxed
data_AcLaPrPt2
_cell_length_a 15.293
_cell_length_b 4.615
_cell_length_c 11.606
_cell_angle_alpha 90.00
_cell_angle_beta 129.87
_cell_angle_gamma 90.00
_symmetry_space_group_name_H-M 'C 1 2/m 1'
_symmetry_Int_Tables_number 12
loop_
_symmetry_equiv_pos_as_xyz
'x,y,z'
'-x,-y,-z'
'-x,y,-z'
'x,-y,z'
'x+1/2,y+1/2,z'
'-x+1/2,-y+1/2,-z'
'-x+1/2,y+1/2,-z'
'x+1/2,-y+1/2,z'
loop_
_atom_site_label
_atom_site_type_symbol
_atom_site_fract_x
_atom_site_fract_y
_atom_site_fract_z
Ac1 Ac 0.042 0.000 0.220
La1 La 0.131 0.500 0.544
Pr1 Pr 0.240 0.500 0.125
Pt1 Pt 0.103 0.500 0.785
Pt2 Pt 0.225 0.500 0.375
# Crystal system: monoclinic
# Calculated formation energy: -913 meV/atom


# Ac2LaPrPt4 GGA-PBE relaxed
data_Ac2LaPrPt4
_cell_length_a 7.470
_cell_length_b 4.305
_cell_length_c 7.501
_cell_angle_alpha 90.00
_cell_angle_beta 109.56
_cell_angle_gamma 90.00
_symmetry_space_group_name_H-M 'P 1 2/m 1'
_symmetry_Int_Tables_number 10
loop_
_symmetry_equiv_pos_as_xyz
'x,y,z'
'-x,-y,-z'
'-x,y,-z'
'x,-y,z'
loop_
_atom_site_label
_atom_site_type_symbol
_atom_site_fract_x
_atom_site_fract_y
_atom_site_fract_z
Ac1 Ac 0.000 0.000 0.000
Ac2 Ac 0.000 0.500 0.500
La1 La 0.500 0.000 0.500
Pr1 Pr 0.500 0.500 0.000
Pt1 Pt 0.258 0.000 0.753
Pt2 Pt 0.258 0.500 0.253
# Crystal system: monoclinic
# Calculated formation energy: -1138 meV/atom